Record 1
This record from the Alexandria database describes a relaxed LiPmNd2Te5 crystal. The functional is PBE.

a = 4.440 Å, b = 18.875 Å, c = 13.330 Å
α = 90.00°, β = 90.00°, γ = 90.00°
Space group Cmc2_1 (No. 36)
Asymmetric unit:
Li: 0.000 0.055 0.000 [4 per cell]
Pm: 0.000 0.301 0.542 [4 per cell]
Nd: 0.000 0.375 0.837 [4 per cell]
Nd: 0.000 0.394 0.220 [4 per cell]
Te: 0.000 0.002 0.317 [4 per cell]
Te: 0.000 0.135 0.533 [4 per cell]
Te: 0.000 0.186 0.877 [4 per cell]
Te: 0.000 0.216 0.206 [4 per cell]
Te: 0.000 0.453 0.609 [4 per cell]

ΔE_f (raw) (meV per atom): -1320

=====

Record 2
This record from the Alexandria database describes a relaxed LiReRh2 crystal. The functional is PBE.

a = 2.849 Å, b = 4.374 Å, c = 8.749 Å
α = 90.00°, β = 90.00°, γ = 90.00°
Space group Imm2 (No. 44)
Asymmetric unit:
Li: 0.000 0.000 0.000 [2 per cell]
Re: 0.000 0.500 0.248 [2 per cell]
Rh: 0.000 0.000 0.500 [2 per cell]
Rh: 0.000 0.500 0.732 [2 per cell]

Energy relative to the elements (eV per atom): 0.055

=====

Record 3
This record from the Alexandria database describes a relaxed Ca2AlAs crystal. The functional is PBE.

a = 4.2834 Å, b = 4.2834 Å, c = 23.1022 Å
α = 90.00°, β = 90.00°, γ = 120.00°
Space group R-3m (No. 166, hexagonal axes)
Asymmetric unit:
Ca: 0.0000 0.0000 0.2315 [6 per cell]
Al: 0.0000 0.0000 0.0000 [3 per cell]
As: 0.0000 0.0000 0.5000 [3 per cell]

Energy relative to the elements (eV per atom): -0.401

=====

Record 4
This record from the Alexandria database describes a relaxed LaAgPb crystal. The functional is PBE.

a = 6.046 Å, b = 3.485 Å, c = 8.553 Å
α = 90.00°, β = 110.65°, γ = 90.00°
Space group P2/m (No. 10)
Asymmetric unit:
La: 0.154 0.000 0.309 [2 per cell]
Ag: 0.238 0.500 0.000 [2 per cell]
Pb: 0.345 0.500 0.688 [2 per cell]

Energy relative to the elements (eV per atom): -0.343

=====

Record 5
This record from the Alexandria database describes a relaxed Ho5NiHg4 crystal. The functional is PBE.

a = 3.595 Å, b = 3.595 Å, c = 18.725 Å
α = 90.00°, β = 90.00°, γ = 90.00°
Space group P4/mmm (No. 123)
Asymmetric unit:
Ho: 0.000 0.000 0.000 [1 per cell]
Ho: 0.000 0.000 0.207 [2 per cell]
Ho: 0.000 0.000 0.415 [2 per cell]
Ni: 0.500 0.500 0.500 [1 per cell]
Hg: 0.500 0.500 0.103 [2 per cell]
Hg: 0.500 0.500 0.308 [2 per cell]

Energy relative to the elements (eV per atom): -0.454

=====

Record 6
This record from the Alexandria database describes a relaxed AcPr3Th2N6 crystal. The functional is PBE.

a = 16.190 Å, b = 3.718 Å, c = 7.444 Å
α = 90.00°, β = 102.88°, γ = 90.00°
Space group C2/m (No. 12)
Asymmetric unit:
Ac: 0.000 0.000 0.000 [2 per cell]
Pr: 0.000 0.000 0.500 [2 per cell]
Pr: 0.168 0.500 0.835 [4 per cell]
Th: 0.167 0.500 0.335 [4 per cell]
N: 0.011 0.500 0.266 [4 per cell]
N: 0.171 0.000 0.574 [4 per cell]
N: 0.172 0.000 0.102 [4 per cell]

ΔE_f (raw) (meV per atom): -1385

=====

Record 7
This record from the Alexandria database describes a relaxed ZrTlRu2 crystal. The functional is PBE.

a = 4.522 Å, b = 4.522 Å, c = 3.418 Å
α = 90.00°, β = 90.00°, γ = 90.00°
Space group P4/mmm (No. 123)
Asymmetric unit:
Zr: 0.000 0.000 0.000 [1 per cell]
Tl: 0.500 0.500 0.000 [1 per cell]
Ru: 0.000 0.500 0.500 [2 per cell]

Energy relative to the elements (eV per atom): -0.097

=====

Record 8
This record from the Alexandria database describes a relaxed ZnHgBF6 crystal. The functional is PBE.

a = 5.236 Å, b = 9.209 Å, c = 5.684 Å
α = 90.00°, β = 95.21°, γ = 90.00°
Space group C2 (No. 5)
Asymmetric unit:
Zn: 0.000 0.000 0.000 [2 per cell]
Hg: 0.000 0.349 0.500 [2 per cell]
B: 0.000 0.692 0.000 [2 per cell]
F: 0.154 0.785 0.871 [4 per cell]
F: 0.165 0.605 0.153 [4 per cell]
F: 0.186 0.008 0.295 [4 per cell]

ΔE_f (raw) (meV per atom): -2129

=====

Record 9
This record from the Alexandria database describes a relaxed NdDyRh crystal. The functional is PBE.

a = 6.955 Å, b = 6.064 Å, c = 10.368 Å
α = 90.00°, β = 128.56°, γ = 90.00°
Space group P2_1/c (No. 14)
Asymmetric unit:
Nd: 0.185 0.133 0.385 [4 per cell]
Dy: 0.337 0.617 0.632 [4 per cell]
Rh: 0.336 0.669 0.365 [4 per cell]

Energy relative to the elements (eV per atom): -0.488

=====

Record 10
This record from the Alexandria database describes a relaxed HoIn4AgO8 crystal. The functional is PBE.

a = 6.5999 Å, b = 6.5999 Å, c = 16.4388 Å
α = 90.00°, β = 90.00°, γ = 120.00°
Space group R3m (No. 160, hexagonal axes)
Asymmetric unit:
Ho: 0.0000 0.0000 0.0000 [3 per cell]
In: 0.0000 0.0000 0.3813 [3 per cell]
In: 0.0054 0.5027 0.5049 [9 per cell]
Ag: 0.0000 0.0000 0.6342 [3 per cell]
O: 0.0000 0.0000 0.2455 [3 per cell]
O: 0.0000 0.0000 0.7707 [3 per cell]
O: 0.0206 0.5103 0.7582 [9 per cell]
O: 0.1855 0.3709 0.5796 [9 per cell]

ΔE_f (raw) (meV per atom): -1663

=====

Record 11
This record from the Alexandria database describes a relaxed HfCuS2Cl crystal. The functional is PBE.

a = 4.944 Å, b = 4.944 Å, c = 4.926 Å
α = 90.00°, β = 90.00°, γ = 90.00°
Space group P4/mmm (No. 123)
Asymmetric unit:
Hf: 0.000 0.000 0.000 [1 per cell]
Cu: 0.500 0.500 0.500 [1 per cell]
S: 0.000 0.500 0.000 [2 per cell]
Cl: 0.000 0.000 0.500 [1 per cell]

ΔE_f (raw) (meV per atom): -493

=====

Record 12
This record from the Alexandria database describes a relaxed SrAgSF crystal. The functional is PBE.

a = 4.115 Å, b = 4.115 Å, c = 9.147 Å
α = 90.00°, β = 90.00°, γ = 90.00°
Space group P4/nmm (No. 129, origin choice 2)
Asymmetric unit:
Sr: 0.250 0.250 0.157 [2 per cell]
Ag: 0.250 0.750 0.500 [2 per cell]
S: 0.250 0.250 0.692 [2 per cell]
F: 0.250 0.750 0.000 [2 per cell]

ΔE_f (raw) (meV per atom): -2032

=====

| no. | raw total energy (eV per atom) |
| --- | --- |
| 1 | -4.87 |
| 2 | -7.21 |
| 3 | -3.50 |
| 4 | -4.17 |
| 5 | -3.44 |
| 6 | -8.32 |
| 7 | -7.46 |
| 8 | -4.29 |
| 9 | -6.06 |
| 10 | -5.81 |
| 11 | -5.32 |
| 12 | -4.67 |